Computed, not measured: a relaxed Ca2SiTeOs crystal at the PBE level of DFT.

The magnetic moment is 0.1 μB per formula unit. The formation energy without anion corrections is 0.357 eV/atom. The calculation puts the total DFT energy (no corrections) at -22.011 eV/cell.

It has space group P4/mmm (No. 123), with a = 5.537 Å, b = 5.537 Å, c = 4.889 Å, α = 90.00°, β = 90.00° and γ = 90.00°. The asymmetric unit holds Ca at (0.000, 0.500, 0.000), Si at (0.000, 0.000, 0.500), Te at (0.500, 0.500, 0.500) and Os at (0.500, 0.500, 0.000).

Computed, not measured: a relaxed CaTiSi2Os crystal at the PBE level of DFT.

The magnetic moment is 1.5 μB per formula unit. The formation energy without anion corrections is 0.164 eV/atom. The calculation puts the total DFT energy (no corrections) at -31.154 eV/cell.

It has space group P4/mmm (No. 123), with a = 4.644 Å, b = 4.644 Å, c = 4.986 Å, α = 90.00°, β = 90.00° and γ = 90.00°. The asymmetric unit holds Ca at (0.000, 0.000, 0.000), Ti at (0.500, 0.500, 0.000), Si at (0.000, 0.500, 0.500) and Os at (0.500, 0.500, 0.500).

Computed, not measured: a relaxed CaZn2SiOs crystal at the PBE level of DFT.

The magnetic moment is 0.0 μB per formula unit. The formation energy without anion corrections is 0.346 eV/atom. The calculation puts the total DFT energy (no corrections) at -19.475 eV/cell.

It has space group P4/mmm (No. 123), with a = 4.683 Å, b = 4.683 Å, c = 4.574 Å, α = 90.00°, β = 90.00° and γ = 90.00°. The asymmetric unit holds Ca at (0.000, 0.000, 0.000), Zn at (0.000, 0.500, 0.500), Si at (0.500, 0.500, 0.500) and Os at (0.500, 0.500, 0.000).

Computed, not measured: a relaxed CaSmOs4 crystal at the PBE level of DFT.

The magnetic moment is 0.0 μB per formula unit. The calculation puts the total DFT energy (no corrections) at -206.814 eV/cell. The calculation puts the formation energy at -0.06 eV/f.u.

It has space group F-43m (No. 216), with a = 7.615 Å, b = 7.615 Å, c = 7.615 Å, α = 90.00°, β = 90.00° and γ = 90.00°. The asymmetric unit holds Ca at (0.000, 0.000, 0.000), Sm at (0.250, 0.250, 0.250) and Os at (0.125, 0.125, 0.625).

Computed, not measured: a relaxed CaSmOs crystal at the PBE level of DFT.

The magnetic moment is 0.0 μB per formula unit. The calculation puts the total DFT energy (no corrections) at -138.965 eV/cell. The calculation puts the formation energy at 0.58 eV/f.u.

It has space group Cmce (No. 64), with a = 6.977 Å, b = 12.576 Å, c = 8.125 Å, α = 90.00°, β = 90.00° and γ = 90.00°. The asymmetric unit holds Ca at (0.000, 0.196, 0.105), Sm at (0.250, 0.043, 0.750) and Os at (0.000, 0.087, 0.441).

Computed, not measured: a relaxed CaSnOs3 crystal at the PBE level of DFT.

The magnetic moment is 2.1 μB per formula unit. The distance to the lowest polymorph of the same formula is 959 meV/atom. The calculation puts the total DFT energy (no corrections) at -25.316 eV/cell. The calculation puts the formation energy at 14.38 eV/f.u.

It has space group Pm-3m (No. 221), with a = 4.731 Å, b = 4.731 Å, c = 4.731 Å, α = 90.00°, β = 90.00° and γ = 90.00°. The asymmetric unit holds Ca at (0.000, 0.000, 0.000), Sn at (0.500, 0.500, 0.500) and Os at (0.000, 0.000, 0.500).

Computed, not measured: a relaxed CaSn7Os2 crystal at the PBE level of DFT.

The magnetic moment is 0.0 μB per formula unit. The calculation puts the total DFT energy (no corrections) at -101.340 eV/cell. The calculation puts the formation energy at 1.81 eV/f.u.

It has space group Cmmm (No. 65), with a = 8.873 Å, b = 13.950 Å, c = 4.626 Å, α = 90.00°, β = 90.00° and γ = 90.00°. The asymmetric unit holds Ca at (0.000, 0.000, 0.000), Sn at (0.000, 0.234, 0.000), Sn at (0.000, 0.500, 0.500), Sn at (0.200, 0.139, 0.500) and Os at (0.000, 0.318, 0.500).

Computed, not measured: a relaxed CaSn3Os crystal at the PBE level of DFT.

The magnetic moment is 0.0 μB per formula unit. The distance to the lowest polymorph of the same formula is 0 meV/atom. The calculation puts the total DFT energy (no corrections) at -24.371 eV/cell. The calculation puts the formation energy at 0.87 eV/f.u.

It has space group Pm-3m (No. 221), with a = 5.212 Å, b = 5.212 Å, c = 5.212 Å, α = 90.00°, β = 90.00° and γ = 90.00°. The asymmetric unit holds Ca at (0.000, 0.000, 0.000), Sn at (0.000, 0.500, 0.500) and Os at (0.500, 0.500, 0.500).

Computed, not measured: a relaxed CaSn2Os crystal at the PBE level of DFT.

The magnetic moment is 0.0 μB per formula unit. The calculation puts the total DFT energy (no corrections) at -79.427 eV/cell. The calculation puts the formation energy at 1.38 eV/f.u.

It has space group I-42d (No. 122), with a = 5.270 Å, b = 5.270 Å, c = 17.219 Å, α = 90.00°, β = 90.00° and γ = 90.00°. The asymmetric unit holds Ca at (0.000, 0.000, 0.000), Sn at (0.121, 0.250, 0.625) and Os at (0.000, 0.000, 0.500).

Computed, not measured: a relaxed CaSn2Os2 crystal at the PBE level of DFT.

The magnetic moment is 0.0 μB per formula unit. The calculation puts the total DFT energy (no corrections) at -64.470 eV/cell. The calculation puts the formation energy at 0.23 eV/f.u.

It has space group I4/mmm (No. 139), with a = 4.618 Å, b = 4.618 Å, c = 10.441 Å, α = 90.00°, β = 90.00° and γ = 90.00°. The asymmetric unit holds Ca at (0.000, 0.000, 0.000), Sn at (0.000, 0.500, 0.250) and Os at (0.000, 0.000, 0.387).

Computed, not measured: a relaxed CaSn2Os crystal at the PBE level of DFT.

The magnetic moment is 0.0 μB per formula unit. The calculation puts the total DFT energy (no corrections) at -84.917 eV/cell. The calculation puts the formation energy at 0.01 eV/f.u.

It has space group Fm-3m (No. 225), with a = 6.880 Å, b = 6.880 Å, c = 6.880 Å, α = 90.00°, β = 90.00° and γ = 90.00°. The asymmetric unit holds Ca at (0.000, 0.000, 0.000), Sn at (0.250, 0.250, 0.250) and Os at (0.000, 0.000, 0.500).

Computed, not measured: a relaxed CaSnOs3 crystal at the PBE level of DFT.

The magnetic moment is 1.9 μB per formula unit. The distance to the lowest polymorph of the same formula is 0 meV/atom. The calculation puts the total DFT energy (no corrections) at -30.109 eV/cell. The calculation puts the formation energy at 9.58 eV/f.u.

It has space group Pm-3m (No. 221), with a = 4.903 Å, b = 4.903 Å, c = 4.903 Å, α = 90.00°, β = 90.00° and γ = 90.00°. The asymmetric unit holds Ca at (0.000, 0.000, 0.000), Sn at (0.500, 0.500, 0.500) and Os at (0.000, 0.500, 0.500).